Material: SrInGaWO6
Method: DFT, PBE+U
State: optimized geometry

abc: 5.649 5.649 5.649
angles: 60.00 60.00 60.00
Sites, in units of the cell vectors:
In (0.750, 0.750, 0.750)
O (0.746, 0.254, 0.746)
O (0.746, 0.746, 0.254)
O (0.254, 0.254, 0.746)
O (0.254, 0.746, 0.254)
O (0.746, 0.254, 0.254)
O (0.254, 0.746, 0.746)
Sr (0.250, 0.250, 0.250)
Ga (0.000, 0.000, 0.000)
W (0.500, 0.500, 0.500)

Total magnetization = 0.000 μB per atom
V = 12.75 Å³ per atom
Uncorrected energy = -0.23389 hartree per atom